(1)
DFT (meta-GGA SCAN) results for a PBEsol-optimized structure of Tl2In.

Results
ρ   10.66 g/cm³
Density of states at the Fermi level   3.42 states/eV/cell
Formation enthalpy at 0 K   0.03 eV/atom

abc: 3.298 9.255 9.255
angles: 120.00 90.00 90.00
Positions (direct):
Tl 0.000 0.000 0.307
Tl 0.000 0.307 0.000
Tl 0.500 0.642 0.000
Tl 0.000 0.693 0.693
Tl 0.500 0.000 0.642
Tl 0.500 0.358 0.358
In 0.000 0.667 0.333
In 0.000 0.333 0.667
In 0.500 0.000 0.000



(2)
DFT (meta-GGA SCAN) results for a PBEsol-optimized structure of TlIn.

Results
ρ   7.77 g/cm³
Density of states at the Fermi level   1.77 states/eV/cell
Formation enthalpy at 0 K   0.20 eV/atom

abc: 5.066 5.066 6.137
angles: 90.00 90.00 120.00
Positions (direct):
Tl 0.333 0.667 0.250
Tl 0.667 0.333 0.750
In 0.333 0.667 0.750
In 0.667 0.333 0.250



(3)
DFT (meta-GGA SCAN) results for a PBEsol-optimized structure of TlIn2.

Results
ρ   9.15 g/cm³
Density of states at the Fermi level   4.46 states/eV/cell
Formation enthalpy at 0 K   0.06 eV/atom

abc: 5.110 6.411 9.619
angles: 90.00 90.00 90.00
Positions (direct):
In 0.750 0.373 0.085
In 0.250 0.627 0.915
In 0.250 0.127 0.585
In 0.250 0.116 0.256
In 0.750 0.873 0.415
In 0.250 0.616 0.244
In 0.750 0.884 0.744
In 0.750 0.384 0.756
Tl 0.250 0.127 0.918
Tl 0.250 0.627 0.582
Tl 0.750 0.373 0.418
Tl 0.750 0.873 0.082



(4)
DFT (meta-GGA SCAN) results for a PBEsol-optimized structure of TlIn.

Results
ρ   9.86 g/cm³
Density of states at the Fermi level   0.79 states/eV/cell
Formation enthalpy at 0 K   0.06 eV/atom

abc: 3.271 3.271 5.222
angles: 90.00 90.00 105.71
Positions (direct):
In 0.000 0.000 0.000
Tl 0.500 0.500 0.500



(5)
DFT (meta-GGA SCAN) results for a PBEsol-optimized structure of TlIn2.

Results
ρ   8.98 g/cm³
Density of states at the Fermi level   2.45 states/eV/cell
Formation enthalpy at 0 K   0.10 eV/atom

abc: 5.455 5.455 6.230
angles: 90.00 90.00 120.00
Positions (direct):
In 0.333 0.667 0.250
In 0.000 0.000 0.000
In 0.000 0.000 0.500
In 0.667 0.333 0.750
Tl 0.333 0.667 0.750
Tl 0.667 0.333 0.250



(6)
DFT (meta-GGA SCAN) results for a PBEsol-optimized structure of TlIn.

Results
ρ   9.84 g/cm³
Density of states at the Fermi level   1.23 states/eV/cell
Formation enthalpy at 0 K   0.04 eV/atom

abc: 3.722 3.722 7.773
angles: 90.00 90.00 90.00
Positions (direct):
In 0.500 0.000 0.886
In 0.000 0.500 0.114
Tl 0.000 0.500 0.635
Tl 0.500 0.000 0.365



- density of states at the Fermi level of number 5 (TlIn2)?
  2.45 states/eV/cell